DFT (PBE) results for crystalline Er2Hg4Pb at its relaxed geometry.

Results
Its relative energy among the computed polymorphs is 0.455 eV/atom. The formation energy comes out at 174.1 meV/atom. Its crystal system is tetragonal. The uncorrected energy comes out at -1.832 eV per atom. The density of states at the Fermi level comes out at 6.19 states/eV/f.u.

```
data_Er2Hg4Pb
_cell_length_a 5.642
_cell_length_b 5.642
_cell_length_c 15.221
_cell_angle_alpha 90.00
_cell_angle_beta 90.00
_cell_angle_gamma 90.00
_symmetry_space_group_name_H-M 'I 4/m m m'
_symmetry_Int_Tables_number 139
_symmetry_space_group_name_Hall '-I 4 2'
loop_
_atom_site_label
_atom_site_type_symbol
_atom_site_fract_x
_atom_site_fract_y
_atom_site_fract_z
Er1 Er 0.000 0.000 0.105
Hg1 Hg 0.000 0.000 0.299
Hg2 Hg 0.000 0.500 0.000
Pb1 Pb 0.000 0.000 0.500
```